Here is Hf2Zn3Au2 after structural relaxation from Alexandria. Energies are from GGA-PBE.

Lattice parameters (Å, degrees): 3.2153 20.9748 7.4729 90.00 90.00 90.00
Closest atoms and distances in Å follow each position.
Space group Cmcm (No. 63)
Inequivalent atoms, fractional coordinates:
Hf (0.0000, 0.0601, 0.2500) [4 per cell]  8 Zn 2.99-3.03, 4 Au 3.11, 2 Hf 3.22
Hf (0.0000, 0.1410, 0.7500) [4 per cell]  6 Zn 2.82-2.86, 4 Au 2.86
Zn (0.0000, 0.2461, 0.2500) [4 per cell]  6 Au 2.72-2.94, 2 Hf 2.86
Zn (0.0000, 0.4527, 0.0848) [8 per cell]  2 Zn 2.35-2.47
Au (0.0000, 0.3333, 0.5577) [8 per cell]  4 Zn 2.72-2.94, 2 Hf 2.86, 1 Au 2.87

**DFT total energy**: -127.7 eV per cell



Here is BaAlH8Rh2 after structural relaxation from Alexandria. Energies are from GGA-PBE.

Lattice parameters (Å, degrees): 4.7864 4.7864 18.0452 90.00 90.00 120.00
Closest atoms and distances in Å follow each position.
Space group R-3m (No. 166, hexagonal axes)
Inequivalent atoms, fractional coordinates:
Ba (0.0000, 0.0000, 0.0000) [3 per cell]  18 H 2.83-2.89
Al (0.0000, 0.0000, 0.5000) [3 per cell]  6 H 1.86
H (0.0000, 0.0000, 0.2993) [6 per cell]  1 Rh 1.60
H (0.0357, 0.5178, 0.0895) [18 per cell]  1 Rh 1.64, 1 H 1.83
Rh (0.0000, 0.0000, 0.2109) [6 per cell]  4 H 1.60-1.64

**DFT total energy**: -149.6 eV per cell



Here is DyGaTc after structural relaxation from Alexandria. Energies are from GGA-PBE.

Lattice parameters (Å, degrees): 3.4490 3.4490 9.6424 90.00 90.00 90.00
Closest atoms and distances in Å follow each position.
Space group I4mm (No. 107)
Inequivalent atoms, fractional coordinates:
Dy (0.0000, 0.0000, 0.0000) [2 per cell]  5 Ga 2.87-3.13, 5 Tc 2.97-3.06
Ga (0.0000, 0.0000, 0.2973) [2 per cell]  4 Tc 2.64, 1 Dy 2.87
Tc (0.0000, 0.0000, 0.6915) [2 per cell]  4 Ga 2.64

**DFT total energy**: -37.5 eV per cell



Here is Sr2Ag3Sn4Ge after structural relaxation from Alexandria. Energies are from GGA-PBE.

Lattice parameters (Å, degrees): 4.7027 4.7027 11.9480 90.00 90.00 90.00
Closest atoms and distances in Å follow each position.
Space group P-4m2 (No. 115)
Inequivalent atoms, fractional coordinates:
Sr (0.0000, 0.5000, 0.2472) [2 per cell]  6 Ag 3.58-3.78, 8 Sn 3.60-3.83, 2 Ge 3.78
Ag (0.0000, 0.0000, 0.0000) [1 per cell]  4 Sn 2.83
Ag (0.0000, 0.5000, 0.6407) [2 per cell]  5 Sn 2.72-2.89
Sn (0.0000, 0.0000, 0.5000) [1 per cell]  4 Ag 2.89
Sn (0.0000, 0.5000, 0.8682) [2 per cell]  3 Ag 2.72-2.83, 2 Ge 2.83
Sn (0.5000, 0.5000, 0.5000) [1 per cell]  4 Ag 2.89
Ge (0.5000, 0.5000, 0.0000) [1 per cell]  4 Sn 2.83

**DFT total energy**: -35.8 eV per cell



Here is NaGaTeO6 after structural relaxation from Alexandria. Energies are from GGA-PBE.

Lattice parameters (Å, degrees): 5.2429 5.2429 10.2777 90.00 90.00 120.00
Closest atoms and distances in Å follow each position.
Space group P-31c (No. 163)
Inequivalent atoms, fractional coordinates:
Na (0.0000, 0.0000, 0.0000) [2 per cell]  6 O 2.43
Ga (0.3333, 0.6667, 0.2500) [2 per cell]  6 O 2.02
Te (0.3333, 0.6667, 0.7500) [2 per cell]  6 O 1.95
O (0.0099, 0.3700, 0.6463) [12 per cell]  1 Te 1.95, 1 Ga 2.02

**DFT total energy**: -93.0 eV per cell



Here is Y2CrBr after structural relaxation from Alexandria. Energies are from GGA-PBE.

Lattice parameters (Å, degrees): 3.4434 5.2958 11.2200 90.00 90.00 90.00
Closest atoms and distances in Å follow each position.
Space group Imm2 (No. 44)
Inequivalent atoms, fractional coordinates:
Y (0.0000, 0.0000, 0.0000) [2 per cell]  2 Br 3.11, 4 Cr 3.18, 2 Y 3.44
Y (0.0000, 0.5000, 0.2218) [2 per cell]  4 Br 3.16, 2 Cr 3.30, 2 Y 3.44
Cr (0.0000, 0.0000, 0.4711) [2 per cell]  6 Y 3.18-3.30, 2 Br 3.19, 2 Cr 3.44
Br (0.0000, 0.5000, 0.7313) [2 per cell]  6 Y 3.11-3.16, 2 Cr 3.19, 2 Br 3.44

**DFT total energy**: -48.5 eV per cell



Here is Ba2LiUAs6 after structural relaxation from Alexandria. Energies are from GGA-PBE.

Lattice parameters (Å, degrees): 10.2322 10.2391 10.2551 90.00 90.00 90.00
Closest atoms and distances in Å follow each position.
Space group Fmmm (No. 69)
Inequivalent atoms, fractional coordinates:
Ba (0.2500, 0.2500, 0.2500) [8 per cell]  12 As 3.62
Li (0.0000, 0.0000, 0.0000) [4 per cell]  6 As 2.47-2.48
U (0.0000, 0.0000, 0.5000) [4 per cell]  6 As 2.65
As (0.0000, 0.0000, 0.2420) [8 per cell]  1 Li 2.48, 1 U 2.65
As (0.0000, 0.2413, 0.0000) [8 per cell]  1 Li 2.47, 1 U 2.65
As (0.2411, 0.0000, 0.0000) [8 per cell]  1 Li 2.47, 1 U 2.65

**DFT total energy**: -197.6 eV per cell



Here is BaTlP after structural relaxation from Alexandria. Energies are from GGA-PBE.

Lattice parameters (Å, degrees): 7.9817 4.9577 10.0419 90.00 90.00 90.00
Closest atoms and distances in Å follow each position.
Space group Pnma (No. 62)
Inequivalent atoms, fractional coordinates:
Ba (0.1377, 0.2500, 0.1499) [4 per cell]  5 P 3.30-3.48, 1 Tl 3.62
Tl (0.0213, 0.7500, 0.4118) [4 per cell]  2 P 2.70-2.81
P (0.1457, 0.2500, 0.8216) [4 per cell]  2 Tl 2.70-2.81

**DFT total energy**: -46.3 eV per cell